A plane-wave DFT calculation with PBE was carried out for a geometry-optimized CaSb2 structure.

Structure (POSCAR):
```
CaSb2
1.0
8.908 -0.038 0.000
7.726 4.434 0.000
-8.317 -2.198 2.313
Sb Ca
2 1
direct
0.859 0.859 0.000
0.141 0.141 0.000
0.500 0.500 0.000
```

For the density of states at the Fermi level, the calculation gives 0.67 states/eV per cell. The magnetization is 0.00 μB/atom. Its total DFT energy (no corrections) is -3.77 eV/atom.


A plane-wave DFT calculation with PBE was carried out for a geometry-optimized FeReP structure.

Structure (POSCAR):
```
FeReP
1.0
3.869 0.000 0.000
1.935 3.351 0.000
1.935 1.117 3.159
Re Fe P
1 1 1
direct
0.000 0.000 0.000
0.500 0.500 0.500
0.750 0.750 0.750
```

For the density of states at the Fermi level, the calculation gives 3.14 states/eV per cell. The value obtained for the formation enthalpy at 0 K is -0.121 eV/f.u. The magnetization is 0.57 μB/atom. The distance to the lowest polymorph of the same formula comes out at 0.036 eV per atom.